! GGA-PBEsol KFe2Tc, optimized geometry; values from VASP
! Density, kg/m³: 7171
! Energy of formation from the pure elements, eV per atom: 1.57
&SYSTEM
  ibrav = 0, nat = 4, ntyp = 3
/
ATOMIC_SPECIES
K 39.10 K.upf
Fe 55.84 Fe.upf
Tc 98.00 Tc.upf
ATOMIC_POSITIONS crystal
K 0.000 0.000 0.000
Fe 0.500 0.500 0.500
Fe 0.750 0.750 0.750
Tc 0.250 0.250 0.250
CELL_PARAMETERS angstrom
0.000 3.065 3.065
3.065 0.000 3.065
3.065 3.065 0.000

=====

! GGA-PBEsol KFe2Tc, optimized geometry; values from VASP
! Density, kg/m³: 6563
! Energy of formation from the pure elements, eV per atom: 0.86
&SYSTEM
  ibrav = 0, nat = 4, ntyp = 3
/
ATOMIC_SPECIES
K 39.10 K.upf
Fe 55.84 Fe.upf
Tc 98.00 Tc.upf
ATOMIC_POSITIONS crystal
K 0.000 0.000 0.000
Fe 0.500 0.500 0.298
Fe 0.500 0.500 0.702
Tc 0.000 0.000 0.500
CELL_PARAMETERS angstrom
1.534 -2.142 0.000
1.534 2.142 0.000
0.000 0.000 9.578

=====

! GGA-PBEsol KFeTc2, optimized geometry; values from VASP
! Density, kg/m³: 6653
! Energy of formation from the pure elements, eV per atom: 0.83
&SYSTEM
  ibrav = 0, nat = 4, ntyp = 3
/
ATOMIC_SPECIES
K 39.10 K.upf
Fe 55.84 Fe.upf
Tc 98.00 Tc.upf
ATOMIC_POSITIONS crystal
K 0.000 0.000 0.000
Fe 0.000 0.000 0.500
Tc 0.494 0.500 0.347
Tc 0.506 0.500 0.653
CELL_PARAMETERS angstrom
2.588 0.000 0.000
0.000 3.399 0.000
-0.096 0.000 8.256

=====

! GGA-PBEsol K2FeTc, optimized geometry; values from VASP
! Density, kg/m³: 3488
! Energy of formation from the pure elements, eV per atom: 1.16
&SYSTEM
  ibrav = 0, nat = 4, ntyp = 3
/
ATOMIC_SPECIES
K 39.10 K.upf
Fe 55.84 Fe.upf
Tc 98.00 Tc.upf
ATOMIC_POSITIONS crystal
K 0.000 0.000 0.000
K 0.707 0.207 0.500
Fe 0.422 0.422 0.000
Tc 0.307 0.807 0.500
CELL_PARAMETERS angstrom
-1.695 2.931 5.561
1.695 -2.931 5.561
1.695 2.931 -5.561

=====

! GGA-PBEsol KFe3Tc, optimized geometry; values from VASP
! Density, kg/m³: 6645
! Energy of formation from the pure elements, eV per atom: 2.74
&SYSTEM
  ibrav = 0, nat = 5, ntyp = 3
/
ATOMIC_SPECIES
K 39.10 K.upf
Fe 55.84 Fe.upf
Tc 98.00 Tc.upf
ATOMIC_POSITIONS crystal
K 0.000 0.000 0.000
Fe 0.000 0.000 0.500
Fe 0.000 0.500 0.000
Fe 0.500 0.000 0.000
Tc 0.500 0.500 0.500
CELL_PARAMETERS angstrom
4.238 0.000 0.000
0.000 4.238 0.000
0.000 0.000 4.238

=====

! GGA-PBEsol KFe2Tc, optimized geometry; values from VASP
! Density, kg/m³: 5657
! Energy of formation from the pure elements, eV per atom: 0.77
&SYSTEM
  ibrav = 0, nat = 4, ntyp = 3
/
ATOMIC_SPECIES
K 39.10 K.upf
Fe 55.84 Fe.upf
Tc 98.00 Tc.upf
ATOMIC_POSITIONS crystal
K 0.000 0.000 0.000
Fe 0.500 0.500 0.350
Fe 0.500 0.500 0.650
Tc 0.000 0.000 0.500
CELL_PARAMETERS angstrom
2.711 0.000 0.000
0.000 3.607 0.000
0.000 0.000 7.468

=====

! GGA-PBEsol K2FeTc, optimized geometry; values from VASP
! Density, kg/m³: 3582
! Energy of formation from the pure elements, eV per atom: 0.88
&SYSTEM
  ibrav = 0, nat = 4, ntyp = 3
/
ATOMIC_SPECIES
K 39.10 K.upf
Fe 55.84 Fe.upf
Tc 98.00 Tc.upf
ATOMIC_POSITIONS crystal
K 0.145 0.145 0.000
K 0.855 0.855 0.000
Fe 0.000 0.500 0.500
Tc 0.500 0.000 0.500
CELL_PARAMETERS angstrom
-1.543 1.742 10.008
1.543 -1.742 10.008
1.543 1.742 -10.008

=====

! GGA-PBEsol KFeTc2, optimized geometry; values from VASP
! Density, kg/m³: 8400
! Energy of formation from the pure elements, eV per atom: 1.66
&SYSTEM
  ibrav = 0, nat = 4, ntyp = 3
/
ATOMIC_SPECIES
K 39.10 K.upf
Fe 55.84 Fe.upf
Tc 98.00 Tc.upf
ATOMIC_POSITIONS crystal
K 0.000 0.000 0.000
Fe 0.500 0.500 0.500
Tc 0.250 0.250 0.250
Tc 0.750 0.750 0.750
CELL_PARAMETERS angstrom
0.000 3.064 3.064
3.064 0.000 3.064
3.064 3.064 0.000

=====

! GGA-PBEsol K2FeTc, optimized geometry; values from VASP
! Density, kg/m³: 3436
! Energy of formation from the pure elements, eV per atom: 2.09
&SYSTEM
  ibrav = 0, nat = 4, ntyp = 3
/
ATOMIC_SPECIES
K 39.10 K.upf
Fe 55.84 Fe.upf
Tc 98.00 Tc.upf
ATOMIC_POSITIONS crystal
K 0.250 0.250 0.250
K 0.750 0.750 0.750
Fe 0.000 0.000 0.000
Tc 0.500 0.500 0.500
CELL_PARAMETERS angstrom
0.000 3.828 3.828
3.828 0.000 3.828
3.828 3.828 0.000

=====

! GGA-PBEsol KFe2Tc, optimized geometry; values from VASP
! Density, kg/m³: 5785
! Energy of formation from the pure elements, eV per atom: 0.82
&SYSTEM
  ibrav = 0, nat = 4, ntyp = 3
/
ATOMIC_SPECIES
K 39.10 K.upf
Fe 55.84 Fe.upf
Tc 98.00 Tc.upf
ATOMIC_POSITIONS crystal
K 0.000 0.000 0.000
Fe 0.000 0.000 0.508
Fe 0.500 0.500 0.660
Tc 0.500 0.500 0.362
CELL_PARAMETERS angstrom
2.635 0.000 0.000
0.000 3.490 0.000
0.000 0.000 7.765

=====

! GGA-PBEsol KFeTe2, optimized geometry; values from VASP
! Density, kg/m³: 5026
! Formation energy from raw total energies, eV/atom: -0.146
&SYSTEM
  ibrav = 0, nat = 4, ntyp = 3
/
ATOMIC_SPECIES
K 39.10 K.upf
Fe 55.84 Fe.upf
Te 127.60 Te.upf
ATOMIC_POSITIONS crystal
K 0.000 0.000 0.000
Fe 0.500 0.500 0.000
Te 0.327 0.827 0.500
Te 0.673 0.173 0.500
CELL_PARAMETERS angstrom
-1.655 3.193 5.475
1.655 -3.193 5.475
1.655 3.193 -5.475

=====

! GGA-PBEsol KFeTe2, optimized geometry; values from VASP
! Density, kg/m³: 4404
! Formation energy from raw total energies, eV/atom: -0.044
&SYSTEM
  ibrav = 0, nat = 4, ntyp = 3
/
ATOMIC_SPECIES
K 39.10 K.upf
Fe 55.84 Fe.upf
Te 127.60 Te.upf
ATOMIC_POSITIONS crystal
K 0.000 0.000 0.000
Fe 0.496 0.500 0.624
Te 0.499 0.000 0.502
Te 0.501 0.500 0.100
CELL_PARAMETERS angstrom
5.101 0.000 0.000
0.000 5.067 0.000
-0.010 0.000 5.108

=====

! GGA-PBEsol KFeTe2, optimized geometry; values from VASP
! Density, kg/m³: 4792
! Formation energy from raw total energies, eV/atom: -0.214
&SYSTEM
  ibrav = 0, nat = 8, ntyp = 3
/
ATOMIC_SPECIES
K 39.10 K.upf
Fe 55.84 Fe.upf
Te 127.60 Te.upf
ATOMIC_POSITIONS crystal
K 0.000 0.000 0.000
K 0.750 0.250 0.500
Fe 0.250 0.750 0.500
Fe 0.500 0.500 0.000
Te 0.223 0.625 0.098
Te 0.375 0.473 0.598
Te 0.527 0.125 0.902
Te 0.875 0.777 0.402
CELL_PARAMETERS angstrom
-3.975 3.975 3.839
3.975 -3.975 3.839
3.975 3.975 -3.839

=====

! GGA-PBEsol K2TlFe, optimized geometry; values from VASP
! Density, kg/m³: 4971
! Energy of formation from the pure elements, eV per atom: 0.79
&SYSTEM
  ibrav = 0, nat = 4, ntyp = 3
/
ATOMIC_SPECIES
K 39.10 K.upf
Tl 204.38 Tl.upf
Fe 55.84 Fe.upf
ATOMIC_POSITIONS crystal
K 0.246 0.246 0.000
K 0.754 0.754 0.000
Tl 0.500 0.000 0.500
Fe 0.000 0.500 0.500
CELL_PARAMETERS angstrom
-2.215 2.249 5.675
2.215 -2.249 5.675
2.215 2.249 -5.675

=====

! GGA-PBEsol KTlFe3, optimized geometry; values from VASP
! Density, kg/m³: 5406
! Energy of formation from the pure elements, eV per atom: 1.61
&SYSTEM
  ibrav = 0, nat = 5, ntyp = 3
/
ATOMIC_SPECIES
K 39.10 K.upf
Tl 204.38 Tl.upf
Fe 55.84 Fe.upf
ATOMIC_POSITIONS crystal
K 0.000 0.000 0.000
Tl 0.500 0.500 0.500
Fe 0.000 0.500 0.500
Fe 0.500 0.000 0.500
Fe 0.500 0.500 0.000
CELL_PARAMETERS angstrom
5.017 0.000 0.000
0.000 5.017 0.000
0.000 0.000 5.017

=====

! GGA-PBEsol K2TlFe, optimized geometry; values from VASP
! Density, kg/m³: 4668
! Energy of formation from the pure elements, eV per atom: 0.83
&SYSTEM
  ibrav = 0, nat = 4, ntyp = 3
/
ATOMIC_SPECIES
K 39.10 K.upf
Tl 204.38 Tl.upf
Fe 55.84 Fe.upf
ATOMIC_POSITIONS crystal
K 0.000 0.000 0.230
K 0.000 0.000 0.770
Tl 0.500 0.500 0.500
Fe 0.500 0.500 0.000
CELL_PARAMETERS angstrom
2.294 -2.441 0.000
2.294 2.441 0.000
0.000 0.000 10.749

=====

! GGA-PBEsol KTlFe2, optimized geometry; values from VASP
! Density, kg/m³: 7474
! Energy of formation from the pure elements, eV per atom: 1.12
&SYSTEM
  ibrav = 0, nat = 4, ntyp = 3
/
ATOMIC_SPECIES
K 39.10 K.upf
Tl 204.38 Tl.upf
Fe 55.84 Fe.upf
ATOMIC_POSITIONS crystal
K 0.000 0.000 0.000
Tl 0.250 0.250 0.250
Fe 0.500 0.500 0.500
Fe 0.750 0.750 0.750
CELL_PARAMETERS angstrom
0.000 3.404 3.404
3.404 0.000 3.404
3.404 3.404 0.000

=====

! GGA-PBEsol K2TlFe, optimized geometry; values from VASP
! Density, kg/m³: 3994
! Energy of formation from the pure elements, eV per atom: 0.50
&SYSTEM
  ibrav = 0, nat = 4, ntyp = 3
/
ATOMIC_SPECIES
K 39.10 K.upf
Tl 204.38 Tl.upf
Fe 55.84 Fe.upf
ATOMIC_POSITIONS crystal
K 0.000 0.000 0.000
K 0.500 0.500 0.401
Tl 0.000 0.000 0.673
Fe 0.500 0.500 0.719
CELL_PARAMETERS angstrom
3.727 0.000 0.000
0.000 3.727 0.000
0.000 0.000 10.130

=====

! GGA-PBEsol KTlFe2, optimized geometry; values from VASP
! Density, kg/m³: 7267
! Energy of formation from the pure elements, eV per atom: 0.75
&SYSTEM
  ibrav = 0, nat = 4, ntyp = 3
/
ATOMIC_SPECIES
K 39.10 K.upf
Tl 204.38 Tl.upf
Fe 55.84 Fe.upf
ATOMIC_POSITIONS crystal
K 0.000 0.000 0.000
Tl 0.227 0.227 0.227
Fe 0.483 0.483 0.483
Fe 0.764 0.764 0.764
CELL_PARAMETERS angstrom
1.572 0.908 9.477
-1.572 0.908 9.477
0.000 -1.816 9.477

=====

! GGA-PBEsol K2TlFe, optimized geometry; values from VASP
! Density, kg/m³: 3779
! Energy of formation from the pure elements, eV per atom: 0.62
&SYSTEM
  ibrav = 0, nat = 4, ntyp = 3
/
ATOMIC_SPECIES
K 39.10 K.upf
Tl 204.38 Tl.upf
Fe 55.84 Fe.upf
ATOMIC_POSITIONS crystal
K 0.000 0.000 0.000
K 0.500 0.303 0.303
Tl 0.000 0.697 0.697
Fe 0.500 0.616 0.616
CELL_PARAMETERS angstrom
4.704 0.000 0.000
0.000 2.626 6.020
0.000 -2.626 6.020

=====

! GGA-PBEsol KTl2Fe, optimized geometry; values from VASP
! Density, kg/m³: 8580
! Energy of formation from the pure elements, eV per atom: 0.66
&SYSTEM
  ibrav = 0, nat = 4, ntyp = 3
/
ATOMIC_SPECIES
K 39.10 K.upf
Tl 204.38 Tl.upf
Fe 55.84 Fe.upf
ATOMIC_POSITIONS crystal
K 0.000 0.000 0.000
Tl 0.000 0.500 0.500
Tl 0.500 0.000 0.500
Fe 0.500 0.500 0.000
CELL_PARAMETERS angstrom
3.372 -4.598 0.000
3.372 4.598 0.000
0.000 0.000 3.144

=====

! GGA-PBEsol KTl2Fe, optimized geometry; values from VASP
! Density, kg/m³: 8384
! Energy of formation from the pure elements, eV per atom: 0.68
&SYSTEM
  ibrav = 0, nat = 4, ntyp = 3
/
ATOMIC_SPECIES
K 39.10 K.upf
Tl 204.38 Tl.upf
Fe 55.84 Fe.upf
ATOMIC_POSITIONS crystal
K 0.000 0.000 0.000
Tl 0.000 0.500 0.500
Tl 0.500 0.000 0.500
Fe 0.500 0.500 0.000
CELL_PARAMETERS angstrom
4.828 0.000 0.000
0.000 4.828 0.000
0.000 0.000 4.280

=====

! GGA-PBEsol K4FeW, optimized geometry; values from VASP
! Density, kg/m³: 3019
! Energy of formation from the pure elements, eV per atom: 1.93
&SYSTEM
  ibrav = 0, nat = 6, ntyp = 3
/
ATOMIC_SPECIES
K 39.10 K.upf
Fe 55.84 Fe.upf
W 183.84 W.upf
ATOMIC_POSITIONS crystal
K 0.125 0.125 0.125
K 0.125 0.125 0.626
K 0.125 0.626 0.125
K 0.626 0.125 0.125
Fe 0.500 0.500 0.500
W 0.750 0.750 0.750
CELL_PARAMETERS angstrom
0.000 4.776 4.776
4.776 0.000 4.776
4.776 4.776 0.000

=====

! GGA-PBEsol KFe2W, optimized geometry; values from VASP
! Density, kg/m³: 8795
! Energy of formation from the pure elements, eV per atom: 1.32
&SYSTEM
  ibrav = 0, nat = 4, ntyp = 3
/
ATOMIC_SPECIES
K 39.10 K.upf
Fe 55.84 Fe.upf
W 183.84 W.upf
ATOMIC_POSITIONS crystal
K 0.000 0.000 0.000
Fe 0.000 0.500 0.500
Fe 0.500 0.000 0.500
W 0.500 0.500 0.000
CELL_PARAMETERS angstrom
3.489 -3.496 0.000
3.489 3.496 0.000
0.000 0.000 2.590

=====

! GGA-PBEsol KFeW2, optimized geometry; values from VASP
! Density, kg/m³: 9244
! Energy of formation from the pure elements, eV per atom: 1.17
&SYSTEM
  ibrav = 0, nat = 4, ntyp = 3
/
ATOMIC_SPECIES
K 39.10 K.upf
Fe 55.84 Fe.upf
W 183.84 W.upf
ATOMIC_POSITIONS crystal
K 0.000 0.000 0.000
Fe 0.000 0.000 0.500
W 0.500 0.500 0.360
W 0.500 0.500 0.640
CELL_PARAMETERS angstrom
3.184 0.000 0.000
0.000 3.184 0.000
0.000 0.000 8.198

=====

! GGA-PBEsol KFeW2, optimized geometry; values from VASP
! Density, kg/m³: 11983
! Energy of formation from the pure elements, eV per atom: 2.04
&SYSTEM
  ibrav = 0, nat = 4, ntyp = 3
/
ATOMIC_SPECIES
K 39.10 K.upf
Fe 55.84 Fe.upf
W 183.84 W.upf
ATOMIC_POSITIONS crystal
K 0.000 0.000 0.000
Fe 0.500 0.500 0.000
W 0.000 0.500 0.500
W 0.500 0.000 0.500
CELL_PARAMETERS angstrom
4.909 0.000 0.000
0.000 4.909 0.000
0.000 0.000 2.661

=====

! GGA-PBEsol KFe2W, optimized geometry; values from VASP
! Density, kg/m³: 7827
! Energy of formation from the pure elements, eV per atom: 0.76
&SYSTEM
  ibrav = 0, nat = 4, ntyp = 3
/
ATOMIC_SPECIES
K 39.10 K.upf
Fe 55.84 Fe.upf
W 183.84 W.upf
ATOMIC_POSITIONS crystal
K 0.000 0.000 0.000
Fe 0.500 0.500 0.337
Fe 0.500 0.500 0.663
W 0.000 0.000 0.500
CELL_PARAMETERS angstrom
3.000 0.000 0.000
0.000 3.000 0.000
0.000 0.000 7.886

=====

! GGA-PBEsol KFeW3, optimized geometry; values from VASP
! Density, kg/m³: 11216
! Energy of formation from the pure elements, eV per atom: 1.91
&SYSTEM
  ibrav = 0, nat = 5, ntyp = 3
/
ATOMIC_SPECIES
K 39.10 K.upf
Fe 55.84 Fe.upf
W 183.84 W.upf
ATOMIC_POSITIONS crystal
K 0.000 0.000 0.000
Fe 0.500 0.500 0.500
W 0.000 0.500 0.500
W 0.500 0.000 0.500
W 0.500 0.500 0.000
CELL_PARAMETERS angstrom
4.574 0.000 0.000
0.000 4.574 0.000
0.000 0.000 4.574

=====

! GGA-PBEsol KYFe3, optimized geometry; values from VASP
! Density, kg/m³: 3899
! Energy of formation from the pure elements, eV per atom: 1.74
&SYSTEM
  ibrav = 0, nat = 5, ntyp = 3
/
ATOMIC_SPECIES
K 39.10 K.upf
Y 88.91 Y.upf
Fe 55.84 Fe.upf
ATOMIC_POSITIONS crystal
K 0.000 0.000 0.000
Y 0.500 0.500 0.500
Fe 0.000 0.500 0.500
Fe 0.500 0.000 0.500
Fe 0.500 0.500 0.000
CELL_PARAMETERS angstrom
5.012 0.000 0.000
0.000 5.012 0.000
0.000 0.000 5.012

=====

! GGA-PBEsol KZn2Fe, optimized geometry; values from VASP
! Density, kg/m³: 5625
! Energy of formation from the pure elements, eV per atom: 0.53
&SYSTEM
  ibrav = 0, nat = 4, ntyp = 3
/
ATOMIC_SPECIES
K 39.10 K.upf
Zn 65.41 Zn.upf
Fe 55.84 Fe.upf
ATOMIC_POSITIONS crystal
K 0.000 0.000 0.000
Zn 0.235 0.235 0.235
Zn 0.765 0.765 0.765
Fe 0.500 0.500 0.500
CELL_PARAMETERS angstrom
1.400 0.808 9.823
-1.400 0.808 9.823
0.000 -1.616 9.823